1.
This record from the Alexandria database describes an optimized crystal structure of HfBI3. The functional is PBE-GGA.

abc: 5.673 5.673 5.673
angles: 90.00 90.00 90.00
Site moments in Bohr magnetons follow the coordinates.
Positions (direct):
I 0.000 0.000 0.500  0.00
B 0.500 0.500 0.500  0.36
I 0.500 0.000 0.000  -0.01
Hf 0.000 0.000 0.000  0.04
I 0.000 0.500 0.000  0.00

Results
D(E_F) = 6.06 states/eV/cell
Energy above the lowest structure with this stoichiometry = 0.000 eV per atom
E_tot = -3.499 eV/atom
Energy relative to the elements, uncorrected = 757 meV/atom

=====

2.
This record from the Alexandria database describes an optimized crystal structure of Y2As2I. The functional is PBE-GGA.

abc: 4.345 4.345 8.006
angles: 74.25 74.25 90.00
Positions (direct):
I 0.000 0.000 0.000
As 0.250 0.750 0.500
Y 0.625 0.625 0.750
Y 0.375 0.375 0.250
As 0.750 0.250 0.500

Results
D(E_F) = 3.24 states/eV/cell
Energy above the lowest structure with this stoichiometry = 0.267 eV per atom
E_tot = -5.562 eV/atom
Energy relative to the elements, uncorrected = -806 meV/atom

=====

3.
This record from the Alexandria database describes an optimized crystal structure of ReAsAu. The functional is PBE-GGA.

abc: 2.951 2.951 7.040
angles: 90.00 90.00 120.00
Positions (direct):
As 0.000 0.000 0.952
Re 0.333 0.667 0.693
Au 0.667 0.333 0.355

Results
D(E_F) = 1.18 states/eV/cell
Formation energy = 30.2 kJ/mol of atoms
Energy above the lowest structure with this stoichiometry = 0.000 eV per atom
E_tot = -6.479 eV/atom

=====

4.
This record from the Alexandria database describes an optimized crystal structure of DyAl3B4O12. The functional is PBE-GGA.

abc: 5.927 5.927 5.927
angles: 104.30 104.30 104.30
Positions (direct):
Al 0.945 0.500 0.055
Al 0.500 0.055 0.945
Dy 0.500 0.500 0.500
B 0.000 0.444 0.556
O 0.128 0.280 0.528
O 0.872 0.472 0.720
Al 0.055 0.945 0.500
O 0.280 0.528 0.128
B 0.556 0.000 0.444
O 0.472 0.720 0.872
O 0.149 0.000 0.851
O 0.528 0.128 0.280
O 0.000 0.851 0.149
B 0.444 0.556 0.000
O 0.720 0.872 0.472
B 0.000 0.000 0.000
O 0.000 0.592 0.408
O 0.408 0.000 0.592
O 0.851 0.149 0.000
O 0.592 0.408 0.000

Results
D(E_F) = 0.00 states/eV/cell
E_tot = -7.934 eV/atom
Energy relative to the elements, uncorrected = -2832 meV/atom

=====

5.
This record from the Alexandria database describes an optimized crystal structure of TmUGa4. The functional is PBE-GGA.

abc: 5.496 5.496 5.496
angles: 60.00 60.00 60.00
Site moments in Bohr magnetons follow the coordinates.
Positions (direct):
Ga 0.625 0.124 0.625  0.01
Tm 0.250 0.250 0.250  0.26
U 0.000 0.000 0.000  2.56
Ga 0.124 0.625 0.625  0.01
Ga 0.625 0.625 0.124  0.01
Ga 0.625 0.625 0.625  0.01

Results
D(E_F) = 8.51 states/eV/cell
Formation energy = -24.3 kJ/mol of atoms
E_tot = -4.896 eV/atom

=====

6.
This record from the Alexandria database describes an optimized crystal structure of Y2HoMn. The functional is PBE-GGA.

abc: 3.550 3.550 8.657
angles: 90.00 90.00 90.00
Site moments in Bohr magnetons follow the coordinates.
Positions (direct):
Y 0.000 0.000 0.203  -0.10
Y 0.000 0.000 0.797  -0.10
Mn 0.500 0.500 0.000  3.41
Ho 0.500 0.500 0.500  0.35

Results
D(E_F) = 6.01 states/eV/cell
Formation energy = 13.2 kJ/mol of atoms
E_tot = -6.532 eV/atom

=====

Q: Look up the D(E_F) of the sixth one.
A: 6.01 states/eV/cell

=====

Q: Among the records above, which one has the lowest E_tot?
A: DyAl3B4O12